(1)
The following is a PBE calculation of a relaxed Cs2AlBS4 crystal, from the Alexandria database.

The spin magnetization comes out at 0.000 μB per formula unit. As for the total energy: -4.650 eV per atom.

Lattice parameters (Å, degrees): 5.540 13.952 24.975 90.00 90.00 90.00
Space group Fddd (No. 70, origin choice 2)
Inequivalent atoms, fractional coordinates:
Cs 0.125 0.125 0.301 [16 per cell]
Al 0.125 0.125 0.125 [8 per cell]
B 0.125 0.125 0.625 [8 per cell]
S 0.088 0.295 0.830 [32 per cell]


(2)
The following is a PBE calculation of a relaxed NdSmTmAg crystal, from the Alexandria database.

Its energy of formation from the pure elements is 0.0484 eV/atom. The spin magnetization comes out at 0.000 μB per formula unit. Its relative energy among the computed polymorphs is 177 meV per atom. As for the total energy: -4.154 eV per atom.

Lattice parameters (Å, degrees): 7.703 7.703 7.703 90.00 90.00 90.00
Space group F-43m (No. 216)
Inequivalent atoms, fractional coordinates:
Nd 0.000 0.000 0.000 [4 per cell]
Sm 0.000 0.000 0.500 [4 per cell]
Tm 0.250 0.250 0.750 [4 per cell]
Ag 0.250 0.250 0.250 [4 per cell]


(3)
The following is a PBE calculation of a relaxed La3PtCl2 crystal, from the Alexandria database.

The spin magnetization comes out at 0.001 μB per formula unit. As for the total energy: -5.558 eV per atom.

Lattice parameters (Å, degrees): 7.554 12.884 7.335 90.00 109.54 90.00
Space group C2/m (No. 12)
Inequivalent atoms, fractional coordinates:
La 0.221 0.000 0.226 [4 per cell]
La 0.242 0.178 0.760 [8 per cell]
Pt 0.000 0.169 0.000 [4 per cell]
Cl 0.000 0.000 0.500 [2 per cell]
Cl 0.000 0.348 0.500 [4 per cell]
Cl 0.000 0.500 0.000 [2 per cell]


(4)
The following is a PBE calculation of a relaxed K3AcPr2O6 crystal, from the Alexandria database.

The spin magnetization comes out at 0.000 μB per formula unit. As for the total energy: -6.462 eV per atom.

Lattice parameters (Å, degrees): 6.478 11.225 6.696 90.00 108.76 90.00
Space group C2/m (No. 12)
Inequivalent atoms, fractional coordinates:
K 0.000 0.000 0.000 [2 per cell]
K 0.000 0.330 0.000 [4 per cell]
Ac 0.000 0.500 0.500 [2 per cell]
Pr 0.000 0.167 0.500 [4 per cell]
O 0.222 0.000 0.693 [4 per cell]
O 0.235 0.329 0.693 [8 per cell]


(5)
The following is a PBE calculation of a relaxed CeHo2SbO8 crystal, from the Alexandria database.

The spin magnetization comes out at 0.763 μB per formula unit. As for the total energy: -7.590 eV per atom.

Lattice parameters (Å, degrees): 7.017 7.194 6.947 90.00 90.00 90.00
Space group Cmmm (No. 65)
Inequivalent atoms, fractional coordinates:
Ce 0.000 0.000 0.000 [2 per cell]
Ho 0.000 0.500 0.257 [4 per cell]
Sb 0.000 0.000 0.500 [2 per cell]
O 0.000 0.185 0.280 [8 per cell]
O 0.195 0.500 0.000 [4 per cell]
O 0.215 0.500 0.500 [4 per cell]


(6)
The following is a PBE calculation of a relaxed BaMg2Al crystal, from the Alexandria database.

Its energy of formation from the pure elements is -0.0072 eV/atom. The spin magnetization comes out at 0.000 μB per formula unit. As for the total energy: -2.221 eV per atom.

Lattice parameters (Å, degrees): 5.418 5.418 7.636 90.00 90.00 90.00
Space group I-4m2 (No. 119)
Inequivalent atoms, fractional coordinates:
Ba 0.000 0.000 0.000 [2 per cell]
Mg 0.000 0.000 0.500 [2 per cell]
Mg 0.000 0.500 0.750 [2 per cell]
Al 0.000 0.500 0.250 [2 per cell]